Entry 1:
VASP calculation (PBE) on a relaxed MnSe2I crystal.

Computed properties:
DOS at the Fermi energy (states/eV per cell): 1.95
Volume (Å³ per cell): 257.8
Energy above the lowest structure with this stoichiometry (eV per atom): 0.0672
Total magnetic moment (μB/cell): 8.00
Formation energy without anion corrections (meV/atom): -211

a b c (Å): 7.127 8.737 8.737
angles (deg): 32.25 97.33 82.67
Site moments in Bohr magnetons follow the coordinates.
Fractional positions:
I 0.250 0.643 0.143  0.04
Se 0.843 0.306 0.348  -0.09
Mn 0.750 0.950 0.450  3.90
Se 0.157 0.694 0.652  -0.09
Se 0.657 0.848 0.806  -0.09
I 0.750 0.357 0.857  0.04
Se 0.343 0.152 0.194  -0.09
Mn 0.250 0.050 0.550  3.90

Entry 2:
VASP calculation (PBE) on a relaxed Mn2SeI crystal.

Computed properties:
DOS at the Fermi energy (states/eV per cell): 14.08
Volume (Å³ per cell): 169.3
Energy above the lowest structure with this stoichiometry (eV per atom): 0.0000
Total magnetic moment (μB/cell): 2.35
Formation energy without anion corrections (meV/atom): 568

a b c (Å): 5.381 5.381 6.976
angles (deg): 67.31 67.31 90.00
Site moments in Bohr magnetons follow the coordinates.
Fractional positions:
Mn 0.587 0.125 0.250  0.60
I 0.000 0.000 0.000  -0.02
Mn 0.375 0.413 0.750  0.54
Mn 0.163 0.625 0.250  0.60
Se 0.250 0.750 0.500  -0.04
I 0.750 0.250 0.500  -0.02
Se 0.500 0.500 0.000  -0.04
Mn 0.875 0.837 0.750  0.60

Entry 3:
VASP calculation (PBE) on a relaxed MnSe2I crystal.

Computed properties:
DOS at the Fermi energy (states/eV per cell): 15.08
Volume (Å³ per cell): 438.7
Energy above the lowest structure with this stoichiometry (eV per atom): 0.2818
Total magnetic moment (μB/cell): 0.00
Formation energy without anion corrections (meV/atom): 3

a b c (Å): 6.714 9.266 7.051
angles (deg): 90.00 90.00 90.00
Fractional positions:
Se 0.173 0.232 0.643
I 0.395 0.004 0.838
Mn 0.407 0.394 0.521
Se 0.903 0.933 0.748
Se 0.827 0.768 0.143
Se 0.403 0.567 0.748
Mn 0.907 0.106 0.521
Mn 0.593 0.606 0.021
I 0.605 0.996 0.338
Se 0.097 0.067 0.248
Se 0.327 0.732 0.143
I 0.105 0.504 0.338
Se 0.597 0.433 0.248
Se 0.673 0.268 0.643
Mn 0.093 0.894 0.021
I 0.895 0.496 0.838

Entry 4:
VASP calculation (PBE) on a relaxed MnSe2I crystal.

Computed properties:
DOS at the Fermi energy (states/eV per cell): 4.74
Volume (Å³ per cell): 290.0
Energy above the lowest structure with this stoichiometry (eV per atom): 0.0765
Total magnetic moment (μB/cell): 0.65
Formation energy without anion corrections (meV/atom): -202

a b c (Å): 5.377 5.848 9.268
angles (deg): 94.86 92.80 89.80
Site moments in Bohr magnetons follow the coordinates.
Fractional positions:
Mn 0.971 0.504 0.247  1.09
Se 0.227 0.786 0.346  -0.01
I 0.270 0.249 0.747  0.00
I 0.166 0.750 0.753  0.00
Mn 0.469 0.505 0.250  -0.38
Se 0.216 0.224 0.152  -0.02
Se 0.736 0.381 0.418  -0.03
Se 0.701 0.628 0.079  -0.03

Entry 5:
VASP calculation (PBE) on a relaxed MnSe2I crystal.

Computed properties:
DOS at the Fermi energy (states/eV per cell): 0.01
Volume (Å³ per cell): 258.6
Energy above the lowest structure with this stoichiometry (eV per atom): 0.0688
Total magnetic moment (μB/cell): 0.00
Formation energy without anion corrections (meV/atom): -210

a b c (Å): 5.266 6.808 8.455
angles (deg): 71.34 108.16 112.76
Fractional positions:
Mn 0.219 0.503 0.249
I 0.326 0.818 0.648
Mn 0.718 0.503 0.249
Se 0.607 0.792 0.237
I 0.612 0.188 0.851
Se 0.059 0.450 0.484
Se 0.331 0.215 0.262
Se 0.878 0.557 0.015

Entry 6:
VASP calculation (PBE) on a relaxed MnSe2I crystal.

Computed properties:
DOS at the Fermi energy (states/eV per cell): 0.00
Volume (Å³ per cell): 275.3
Energy above the lowest structure with this stoichiometry (eV per atom): 0.1142
Total magnetic moment (μB/cell): 0.00
Formation energy without anion corrections (meV/atom): -164

a b c (Å): 5.259 6.406 8.226
angles (deg): 83.44 90.04 90.01
Fractional positions:
Se 0.038 0.131 0.944
Se 0.039 0.793 0.333
Se 0.539 0.228 0.224
Mn 0.789 0.970 0.142
Se 0.538 0.738 0.040
I 0.540 0.333 0.536
I 0.039 0.868 0.666
Mn 0.288 0.970 0.142

Entry 7:
VASP calculation (PBE) on a relaxed MnSe2I crystal.

Computed properties:
DOS at the Fermi energy (states/eV per cell): 1.61
Volume (Å³ per cell): 103.2
Energy above the lowest structure with this stoichiometry (eV per atom): 0.5004
Total magnetic moment (μB/cell): 4.89
Formation energy without anion corrections (meV/atom): 222

a b c (Å): 4.253 4.253 5.704
angles (deg): 90.00 90.00 90.00
Site moments in Bohr magnetons follow the coordinates.
Fractional positions:
I 0.500 0.500 0.000  -0.01
Se 0.500 0.500 0.500  0.06
Se 0.000 0.000 0.000  0.02
Mn 0.000 0.000 0.500  4.40

Entry 8:
VASP calculation (PBE) on a relaxed MnSe2I crystal.

Computed properties:
DOS at the Fermi energy (states/eV per cell): 3.04
Volume (Å³ per cell): 221.1
Energy above the lowest structure with this stoichiometry (eV per atom): 0.3610
Total magnetic moment (μB/cell): 0.00
Formation energy without anion corrections (meV/atom): 82

a b c (Å): 6.700 6.700 6.834
angles (deg): 60.65 60.65 90.00
Fractional positions:
Se 0.375 0.505 0.750
Se 0.875 0.745 0.750
Se 0.255 0.625 0.250
Se 0.495 0.125 0.250
I 0.000 0.000 0.000
I 0.750 0.250 0.500
Mn 0.250 0.750 0.500
Mn 0.500 0.500 0.000

Entry 9:
VASP calculation (PBE) on a relaxed MnSe2I crystal.

Computed properties:
DOS at the Fermi energy (states/eV per cell): 2.49
Volume (Å³ per cell): 258.3
Energy above the lowest structure with this stoichiometry (eV per atom): 0.0338
Total magnetic moment (μB/cell): 6.06
Formation energy without anion corrections (meV/atom): -245

a b c (Å): 6.239 5.060 8.876
angles (deg): 109.93 98.40 94.20
Site moments in Bohr magnetons follow the coordinates.
Fractional positions:
Mn 0.737 0.547 0.323  3.15
I 0.250 0.361 0.874  0.04
Se 0.465 0.886 0.351  -0.09
Se 0.473 0.121 0.147  -0.09
I 0.688 0.646 0.624  0.04
Se 0.902 0.719 0.142  -0.20
Se 0.036 0.287 0.356  -0.20
Mn 0.200 0.459 0.176  3.15

Entry 10:
VASP calculation (PBE) on a relaxed MnSi2SeI crystal.

Computed properties:
DOS at the Fermi energy (states/eV per cell): 2.83
Volume (Å³ per cell): 105.9
Total magnetic moment (μB/cell): 0.57
Formation energy without anion corrections (meV/atom): 539

a b c (Å): 4.411 5.444 4.411
angles (deg): 90.00 90.00 90.00
Site moments in Bohr magnetons follow the coordinates.
Fractional positions:
Si 0.500 0.000 0.000  -0.04
Si 0.000 0.000 0.500  -0.02
Mn 0.000 0.000 0.000  0.68
I 0.000 0.500 0.000  0.02
Se 0.500 0.500 0.500  -0.03

Entry 11:
VASP calculation (PBE) on a relaxed MnSnSe2I crystal.

Computed properties:
DOS at the Fermi energy (states/eV per cell): 14.53
Volume (Å³ per cell): 148.7
Total magnetic moment (μB/cell): 0.52
Formation energy without anion corrections (meV/atom): 1065

a b c (Å): 5.306 5.282 5.306
angles (deg): 90.00 90.00 90.00
Site moments in Bohr magnetons follow the coordinates.
Fractional positions:
I 0.500 0.500 0.500  0.08
Se 0.000 0.000 0.500  0.16
Se 0.500 0.000 0.000  0.16
Mn 0.000 0.500 0.000  -0.06
Sn 0.000 0.000 0.000  0.00

Entry 12:
VASP calculation (PBE) on a relaxed MnTe2SeI crystal.

Computed properties:
DOS at the Fermi energy (states/eV per cell): 6.66
Volume (Å³ per cell): 132.3
Energy above the lowest structure with this stoichiometry (eV per atom): 0.0000
Total magnetic moment (μB/cell): 0.00
Formation energy without anion corrections (meV/atom): 542

a b c (Å): 4.945 4.945 5.410
angles (deg): 90.00 90.00 90.00
Fractional positions:
Te 0.500 0.000 0.000
Te 0.000 0.500 0.000
Mn 0.000 0.000 0.000
I 0.000 0.000 0.500
Se 0.500 0.500 0.500

Entry 13:
VASP calculation (PBE) on a relaxed MnTe2SeI crystal.

Computed properties:
DOS at the Fermi energy (states/eV per cell): 2.91
Volume (Å³ per cell): 171.0
Energy above the lowest structure with this stoichiometry (eV per atom): 0.1255
Total magnetic moment (μB/cell): 5.26
Formation energy without anion corrections (meV/atom): 667

a b c (Å): 5.515 5.515 5.624
angles (deg): 90.00 90.00 90.00
Site moments in Bohr magnetons follow the coordinates.
Fractional positions:
I 0.000 0.000 0.500  0.06
Mn 0.500 0.500 0.500  4.58
Te 0.500 0.000 0.000  0.01
Se 0.000 0.000 0.000  0.00
Te 0.000 0.500 0.000  0.01